# MnSbI2O

An optimized crystal structure of MnSbI2O (PBE+U, Alexandria).

Geometry as POSCAR:
```
MnSbI2O
1.0
5.556 0.000 0.000
0.000 5.556 0.000
0.000 0.000 5.521
Mn Sb I O
1 1 2 1
Direct
0.000 0.000 0.000
0.000 0.000 0.500
0.000 0.500 0.000
0.500 0.000 0.000
0.500 0.500 0.500
```

The calculation puts the distance to the lowest polymorph of the same formula at 0.909 eV/atom. For the volume, the calculation gives 34.092 Å³/atom.